This record from Alexandria describes DyY2S4 after structural relaxation. The functional is GGA-PBE.

Structure (POSCAR):
```
DyY2S4
1.0
3.8065 0.0000 0.0000
-1.9033 6.4725 0.0000
0.0000 0.0000 13.1342
S Dy Y
8 2 4
direct
0.0263 0.0526 0.2500
0.2233 0.4467 0.8772
0.5000 0.0000 0.5000
0.5000 0.0000 0.0000
0.9737 0.9474 0.7500
0.7767 0.5533 0.1228
0.2233 0.4467 0.6228
0.7767 0.5533 0.3772
0.6268 0.2537 0.7500
0.3732 0.7463 0.2500
0.8705 0.7410 0.9301
0.1295 0.2590 0.4301
0.1295 0.2590 0.0699
0.8705 0.7410 0.5699
```

formation energy without anion corrections = -2053 meV per atom
E above lowest polymorph = 0 meV/atom